Density functional theory data (GGA-PBE) for crystalline SmTmGaRh at its relaxed geometry.

Cell lengths 3.9356, 4.2601, 10.9200 Å; angles 90.00, 90.00, 90.00 degrees
Atoms (fractional coordinates):
Sm 0.0000 0.0000 0.0000
Sm 0.0000 0.5000 0.5000
Tm 0.5000 0.0000 0.2855
Tm 0.5000 0.5000 0.7855
Ga 0.5000 0.0000 0.5844
Ga 0.5000 0.5000 0.0844
Rh 0.0000 0.0000 0.7384
Rh 0.0000 0.5000 0.2384

As for the crystal system: orthorhombic. Its magnetization is 0.0 μB per formula unit. For the formation energy, the calculation gives -0.72 eV per atom. As for the total energy: -5.6106 eV per atom. Its relative energy among the computed polymorphs is 0.000 eV/atom.